(1)
# TcPt2Br (PBE, optimized geometry)
data_TcPt2Br
_space_group_name_H-M_alt 'P 1'
_space_group_IT_number 1
_cell_length_a 4.534
_cell_length_b 4.534
_cell_length_c 4.524
_cell_angle_alpha 119.77
_cell_angle_beta 119.77
_cell_angle_gamma 90.47
loop_
_space_group_symop_operation_xyz
'x,y,z'
loop_
_atom_site_label
_atom_site_type_symbol
_atom_site_fract_x
_atom_site_fract_y
_atom_site_fract_z
Tc1 Tc 0.000 0.000 0.000
Pt1 Pt 0.249 0.751 0.500
Pt2 Pt 0.499 0.501 0.000
Br1 Br 0.749 0.251 0.500
# - symmetry = C2, No. 5
# - density (g/cm³) = 14.3
# - crystal system = monoclinic
# - energy relative to the elements, uncorrected (meV/atom) = 698



(2)
# KBe2Ag (PBE, optimized geometry)
data_KBe2Ag
_space_group_name_H-M_alt 'P 1'
_space_group_IT_number 1
_cell_length_a 4.234
_cell_length_b 4.234
_cell_length_c 4.549
_cell_angle_alpha 90.00
_cell_angle_beta 90.00
_cell_angle_gamma 90.00
loop_
_space_group_symop_operation_xyz
'x,y,z'
loop_
_atom_site_label
_atom_site_type_symbol
_atom_site_fract_x
_atom_site_fract_y
_atom_site_fract_z
K1 K 0.000 0.000 0.000
Be1 Be 0.000 0.500 0.500
Be2 Be 0.500 0.000 0.500
Ag1 Ag 0.500 0.500 0.000
# - symmetry = P4/mmm, No. 123
# - formation energy (meV per atom) = 1153
# - density (g/cm³) = 3.4
# - crystal system = tetragonal



(3)
# Th2Ga3Pd5 (PBE, optimized geometry)
data_Th2Ga3Pd5
_space_group_name_H-M_alt 'P 1'
_space_group_IT_number 1
_cell_length_a 12.595
_cell_length_b 12.595
_cell_length_c 7.046
_cell_angle_alpha 90.00
_cell_angle_beta 90.00
_cell_angle_gamma 160.22
loop_
_space_group_symop_operation_xyz
'x,y,z'
loop_
_atom_site_label
_atom_site_type_symbol
_atom_site_fract_x
_atom_site_fract_y
_atom_site_fract_z
Th1 Th 0.024 0.976 0.500
Th2 Th 0.321 0.679 0.509
Th3 Th 0.679 0.321 0.009
Th4 Th 0.976 0.024 0.000
Ga1 Ga 0.102 0.898 0.159
Ga2 Ga 0.282 0.718 0.058
Ga3 Ga 0.440 0.560 0.319
Ga4 Ga 0.560 0.440 0.819
Ga5 Ga 0.718 0.282 0.558
Ga6 Ga 0.898 0.102 0.659
Pd1 Pd 0.115 0.885 0.772
Pd2 Pd 0.196 0.804 0.341
Pd3 Pd 0.227 0.773 0.752
Pd4 Pd 0.383 0.617 0.992
Pd5 Pd 0.457 0.543 0.693
Pd6 Pd 0.543 0.457 0.193
Pd7 Pd 0.617 0.383 0.492
Pd8 Pd 0.773 0.227 0.252
Pd9 Pd 0.804 0.196 0.841
Pd10 Pd 0.885 0.115 0.272
# - symmetry = Cmc2_1, No. 36
# - formation energy (meV per atom) = -760
# - density (g/cm³) = 10.6
# - crystal system = orthorhombic



(4)
# CeNd2Al (PBE, optimized geometry)
data_CeNd2Al
_space_group_name_H-M_alt 'P 1'
_space_group_IT_number 1
_cell_length_a 4.909
_cell_length_b 4.909
_cell_length_c 4.678
_cell_angle_alpha 90.00
_cell_angle_beta 90.00
_cell_angle_gamma 90.00
loop_
_space_group_symop_operation_xyz
'x,y,z'
loop_
_atom_site_label
_atom_site_type_symbol
_atom_site_fract_x
_atom_site_fract_y
_atom_site_fract_z
Ce1 Ce 0.000 0.000 0.000
Nd1 Nd 0.000 0.500 0.500
Nd2 Nd 0.500 0.000 0.500
Al1 Al 0.500 0.500 0.000
# - symmetry = P4/mmm, No. 123
# - formation energy (meV per atom) = -135
# - density (g/cm³) = 6.7
# - crystal system = tetragonal



(5)
# Ti2MoPb (PBE, optimized geometry)
data_Ti2MoPb
_space_group_name_H-M_alt 'P 1'
_space_group_IT_number 1
_cell_length_a 5.991
_cell_length_b 5.991
_cell_length_c 5.991
_cell_angle_alpha 102.86
_cell_angle_beta 102.86
_cell_angle_gamma 123.70
loop_
_space_group_symop_operation_xyz
'x,y,z'
loop_
_atom_site_label
_atom_site_type_symbol
_atom_site_fract_x
_atom_site_fract_y
_atom_site_fract_z
Ti1 Ti 0.078 0.625 0.953
Ti2 Ti 0.375 0.328 0.453
Ti3 Ti 0.672 0.125 0.047
Ti4 Ti 0.875 0.922 0.547
Mo1 Mo 0.000 0.000 0.000
Mo2 Mo 0.750 0.250 0.500
Pb1 Pb 0.250 0.750 0.500
Pb2 Pb 0.500 0.500 0.000
# - symmetry = I-42d, No. 122
# - formation energy (meV per atom) = 496
# - density (g/cm³) = 8.4
# - crystal system = tetragonal



(6)
# Tb2NdDy6Tm (PBE, optimized geometry)
data_Tb2NdDy6Tm
_space_group_name_H-M_alt 'P 1'
_space_group_IT_number 1
_cell_length_a 8.773
_cell_length_b 8.773
_cell_length_c 9.540
_cell_angle_alpha 93.77
_cell_angle_beta 93.77
_cell_angle_gamma 117.79
loop_
_space_group_symop_operation_xyz
'x,y,z'
loop_
_atom_site_label
_atom_site_type_symbol
_atom_site_fract_x
_atom_site_fract_y
_atom_site_fract_z
Tb1 Tb 0.196 0.301 0.454
Tb2 Tb 0.301 0.196 0.954
Tb3 Tb 0.699 0.804 0.046
Tb4 Tb 0.804 0.699 0.546
Nd1 Nd 0.476 0.524 0.750
Nd2 Nd 0.524 0.476 0.250
Dy1 Dy 0.008 0.792 0.881
Dy2 Dy 0.067 0.516 0.685
Dy3 Dy 0.208 0.992 0.619
Dy4 Dy 0.249 0.624 0.057
Dy5 Dy 0.376 0.751 0.443
Dy6 Dy 0.484 0.933 0.815
Dy7 Dy 0.516 0.067 0.185
Dy8 Dy 0.624 0.249 0.557
Dy9 Dy 0.751 0.376 0.943
Dy10 Dy 0.792 0.008 0.381
Dy11 Dy 0.933 0.484 0.315
Dy12 Dy 0.992 0.208 0.119
Tm1 Tm 0.090 0.910 0.250
Tm2 Tm 0.910 0.090 0.750
# - symmetry = C2/c, No. 15
# - formation energy (meV per atom) = 118
# - density (g/cm³) = 8.3
# - crystal system = monoclinic



(7)
# LuZrMnTc (PBE, optimized geometry)
data_LuZrMnTc
_space_group_name_H-M_alt 'P 1'
_space_group_IT_number 1
_cell_length_a 4.726
_cell_length_b 4.726
_cell_length_c 4.726
_cell_angle_alpha 60.00
_cell_angle_beta 60.00
_cell_angle_gamma 60.00
loop_
_space_group_symop_operation_xyz
'x,y,z'
loop_
_atom_site_label
_atom_site_type_symbol
_atom_site_fract_x
_atom_site_fract_y
_atom_site_fract_z
Lu1 Lu 0.000 0.000 0.000
Zr1 Zr 0.500 0.500 0.500
Mn1 Mn 0.750 0.750 0.750
Tc1 Tc 0.250 0.250 0.250
# - symmetry = F-43m, No. 216
# - formation energy (meV per atom) = -57
# - density (g/cm³) = 9.3
# - crystal system = cubic



(8)
# RbSmBr3 (PBE, optimized geometry)
data_RbSmBr3
_space_group_name_H-M_alt 'P 1'
_space_group_IT_number 1
_cell_length_a 9.769
_cell_length_b 4.139
_cell_length_c 16.988
_cell_angle_alpha 90.00
_cell_angle_beta 90.00
_cell_angle_gamma 90.00
loop_
_space_group_symop_operation_xyz
'x,y,z'
loop_
_atom_site_label
_atom_site_type_symbol
_atom_site_fract_x
_atom_site_fract_y
_atom_site_fract_z
Rb1 Rb 0.061 0.250 0.175
Rb2 Rb 0.439 0.750 0.675
Rb3 Rb 0.561 0.250 0.325
Rb4 Rb 0.939 0.750 0.825
Sm1 Sm 0.132 0.750 0.453
Sm2 Sm 0.368 0.250 0.953
Sm3 Sm 0.632 0.750 0.047
Sm4 Sm 0.868 0.250 0.547
Br1 Br 0.051 0.750 0.624
Br2 Br 0.167 0.750 0.004
Br3 Br 0.232 0.250 0.799
Br4 Br 0.268 0.750 0.299
Br5 Br 0.333 0.250 0.504
Br6 Br 0.449 0.250 0.124
Br7 Br 0.551 0.750 0.876
Br8 Br 0.667 0.750 0.496
Br9 Br 0.732 0.250 0.701
Br10 Br 0.768 0.750 0.201
Br11 Br 0.833 0.250 0.996
Br12 Br 0.949 0.250 0.376
# - symmetry = Pnma, No. 62
# - density (g/cm³) = 4.6
# - crystal system = orthorhombic
# - energy relative to the elements, uncorrected (meV/atom) = -1685



(9)
# MnTlCd2 (PBE, optimized geometry)
data_MnTlCd2
_space_group_name_H-M_alt 'P 1'
_space_group_IT_number 1
_cell_length_a 6.899
_cell_length_b 6.899
_cell_length_c 6.899
_cell_angle_alpha 153.93
_cell_angle_beta 139.71
_cell_angle_gamma 48.62
loop_
_space_group_symop_operation_xyz
'x,y,z'
loop_
_atom_site_label
_atom_site_type_symbol
_atom_site_fract_x
_atom_site_fract_y
_atom_site_fract_z
Mn1 Mn 0.000 0.000 0.000
Tl1 Tl 0.196 0.696 0.500
Cd1 Cd 0.490 0.490 0.000
Cd2 Cd 0.812 0.312 0.500
# - symmetry = Imm2, No. 44
# - formation energy (meV per atom) = 260
# - density (g/cm³) = 8.6
# - crystal system = orthorhombic



(10)
# AcLa3HoTm (PBE, optimized geometry)
data_AcLa3HoTm
_space_group_name_H-M_alt 'P 1'
_space_group_IT_number 1
_cell_length_a 8.174
_cell_length_b 5.301
_cell_length_c 10.594
_cell_angle_alpha 90.00
_cell_angle_beta 108.99
_cell_angle_gamma 90.00
loop_
_space_group_symop_operation_xyz
'x,y,z'
loop_
_atom_site_label
_atom_site_type_symbol
_atom_site_fract_x
_atom_site_fract_y
_atom_site_fract_z
Ac1 Ac 0.174 0.250 0.294
Ac2 Ac 0.826 0.750 0.706
La1 La 0.173 0.750 0.546
La2 La 0.174 0.750 0.041
La3 La 0.176 0.250 0.793
La4 La 0.824 0.750 0.207
La5 La 0.826 0.250 0.959
La6 La 0.827 0.250 0.454
Ho1 Ho 0.498 0.750 0.877
Ho2 Ho 0.502 0.250 0.123
Tm1 Tm 0.498 0.250 0.627
Tm2 Tm 0.502 0.750 0.373
# - symmetry = P2_1/m, No. 11
# - formation energy (meV per atom) = 45
# - density (g/cm³) = 7.5
# - crystal system = monoclinic



(11)
# CaNd2C (PBE, optimized geometry)
data_CaNd2C
_space_group_name_H-M_alt 'P 1'
_space_group_IT_number 1
_cell_length_a 3.735
_cell_length_b 3.735
_cell_length_c 10.091
_cell_angle_alpha 100.50
_cell_angle_beta 100.50
_cell_angle_gamma 60.01
loop_
_space_group_symop_operation_xyz
'x,y,z'
loop_
_atom_site_label
_atom_site_type_symbol
_atom_site_fract_x
_atom_site_fract_y
_atom_site_fract_z
Ca1 Ca 0.000 0.000 0.000
Nd1 Nd 0.213 0.213 0.642
Nd2 Nd 0.453 0.453 0.356
C1 C 0.833 0.833 0.500
# - symmetry = Cm, No. 8
# - formation energy (meV per atom) = -60
# - density (g/cm³) = 4.7
# - crystal system = monoclinic



(12)
# ScTiVRe (PBE, optimized geometry)
data_ScTiVRe
_space_group_name_H-M_alt 'P 1'
_space_group_IT_number 1
_cell_length_a 4.497
_cell_length_b 4.497
_cell_length_c 4.497
_cell_angle_alpha 60.00
_cell_angle_beta 60.00
_cell_angle_gamma 60.00
loop_
_space_group_symop_operation_xyz
'x,y,z'
loop_
_atom_site_label
_atom_site_type_symbol
_atom_site_fract_x
_atom_site_fract_y
_atom_site_fract_z
Sc1 Sc 0.000 0.000 0.000
Ti1 Ti 0.750 0.750 0.750
V1 V 0.250 0.250 0.250
Re1 Re 0.500 0.500 0.500
# - symmetry = F-43m, No. 216
# - formation energy (meV per atom) = -37
# - density (g/cm³) = 8.5
# - crystal system = cubic



Question: Among the records above, which one has the lowest density?
Answer: KBe2Ag